VASP calculation (PBE+U) on crystalline Li3VH16O12 at its relaxed geometry.

Structure (CIF):
```
data_Li3VH16O12
_cell_length_a 7.366
_cell_length_b 6.529
_cell_length_c 13.081
_cell_angle_alpha 90.00
_cell_angle_beta 112.23
_cell_angle_gamma 90.00
_space_group_name_H-M_alt 'P 1 c 1'
_space_group_IT_number 7
loop_
_space_group_symop_operation_xyz
'x,y,z'
'x,-y,z+1/2'
loop_
_atom_site_label
_atom_site_fract_x
_atom_site_fract_y
_atom_site_fract_z
_atom_site_occupancy
Li1 0.000 0.048 0.000 1
Li2 0.347 0.150 0.245 1
Li3 0.485 0.354 0.443 1
V1 0.817 0.454 0.681 1
H1 0.059 0.090 0.690 1
H2 0.120 0.234 0.867 1
H3 0.191 0.357 0.505 1
H4 0.250 0.307 0.987 1
H5 0.251 0.461 0.765 1
H6 0.358 0.023 0.929 1
H7 0.409 0.396 0.598 1
H8 0.466 0.471 0.761 1
H9 0.565 0.034 0.919 1
H10 0.572 0.082 0.690 1
H11 0.653 0.146 0.198 1
H12 0.715 0.251 0.853 1
H13 0.746 0.327 0.974 1
H14 0.883 0.325 0.482 1
H15 0.921 0.268 0.371 1
H16 0.988 0.143 0.188 1
O1 0.037 0.319 0.739 1
O2 0.075 0.052 0.164 1
O3 0.186 0.182 0.945 1
O4 0.317 0.434 0.523 1
O5 0.372 0.453 0.286 1
O6 0.450 0.059 0.405 1
O7 0.532 0.064 0.183 1
O8 0.631 0.345 0.717 1
O9 0.745 0.454 0.537 1
O10 0.750 0.201 0.930 1
O11 0.858 0.297 0.232 1
O12 0.969 0.243 0.453 1
```

Calculated values
theoretical density	1.60	Mg/m³
energy	-5.281	eV/atom